A) BaTa3Fe | PBE | optimized geometry Values from VASP.

Summary:
total magnetic moment	0.01	μB per atom

```
&SYSTEM
  ibrav = 0, nat = 5, ntyp = 3
/
ATOMIC_SPECIES
Fe 55.84 Fe.upf
Ba 137.33 Ba.upf
Ta 180.95 Ta.upf
CELL_PARAMETERS angstrom
5.0024 0.0000 0.0000
0.0000 5.0024 0.0000
0.0000 0.0000 5.0024
ATOMIC_POSITIONS crystal
Fe 0.5000 0.5000 0.5000
Ba 0.0000 0.0000 0.0000
Ta 0.0000 0.5000 0.0000
Ta 0.0000 0.0000 0.5000
Ta 0.5000 0.0000 0.0000
```

=====

B) BaTa3Fe | PBE | optimized geometry Values from VASP.

Summary:
total magnetic moment	0.00	μB per atom

```
&SYSTEM
  ibrav = 0, nat = 5, ntyp = 3
/
ATOMIC_SPECIES
Fe 55.84 Fe.upf
Ba 137.33 Ba.upf
Ta 180.95 Ta.upf
CELL_PARAMETERS angstrom
4.8061 0.0000 0.0000
0.0000 4.8061 0.0000
0.0000 0.0000 4.8061
ATOMIC_POSITIONS crystal
Fe 0.0000 0.0000 0.0000
Ba 0.5000 0.5000 0.5000
Ta 0.0000 0.5000 0.0000
Ta 0.0000 0.0000 0.5000
Ta 0.5000 0.0000 0.0000
```

=====

The winner here is B), beating the second structure by 2.564 eV/atom.